10
Lattice="-3.743 -0.964 4.834 -6.839 -2.739 -1.879 0.560 -6.960 3.009" Properties=species:S:1:pos:R:3 comment="La5InSe4 PBE-GGA optimized geometry" m_tot_mub_per_cell=0.0 dft_energy_ev_per_atom=-5.800 vol_a3_per_fu=298 formation_energy_uncorrected_ev_per_atom=-1.669 pbc="T T T"
In -0.005 -0.001 0.006
Se -1.874 -3.541 1.813
Se -8.155 -7.124 4.160
Se -6.231 -3.590 2.392
Se -3.798 -7.075 3.581
La -4.304 -3.145 0.010
La -6.259 -6.577 1.774
La -3.770 -4.088 4.198
La -1.877 -0.483 2.424
La -5.725 -7.520 5.962

---

6
Lattice="1.084 -4.978 3.044 -4.355 -2.604 3.077 -2.265 -5.163 -1.852" Properties=species:S:1:pos:R:3 comment="LaInSe4 PBE-GGA optimized geometry" de_polymorph_mev_per_atom=640 m_tot_mub_per_cell=0.0 dft_energy_ev_per_atom=-3.903 vol_a3_per_fu=148 formation_energy_uncorrected_ev_per_atom=-0.302 pbc="T T T"
Se -2.076 -4.780 1.601
Se -4.253 -6.082 3.139
Se -3.208 -7.361 0.675
Se -1.535 -7.268 3.122
La 0.000 0.000 0.000
In -4.152 -9.559 3.201

---

8
Lattice="-4.185 1.439 0.531 0.158 -2.198 7.207 2.610 5.963 4.415" Properties=species:S:1:pos:R:3 comment="Sr2LaInSe4 PBE-GGA optimized geometry" m_tot_mub_per_cell=0.0 dft_energy_ev_per_atom=-4.790 vol_a3_per_fu=250 formation_energy_uncorrected_ev_per_atom=-1.669 pbc="T T T"
La 1.384 1.882 5.811
Sr -0.787 3.701 2.473
Sr 2.610 5.963 4.415
Se -1.287 0.657 6.783
Se -3.442 2.497 3.520
Se 2.026 2.706 8.633
Se -0.129 4.546 5.370
In -2.013 -0.380 3.869

---

Repeat the third record exactly.
8
Lattice="-4.185 1.439 0.531 0.158 -2.198 7.207 2.610 5.963 4.415" Properties=species:S:1:pos:R:3 comment="Sr2LaInSe4 PBE-GGA optimized geometry" m_tot_mub_per_cell=0.0 dft_energy_ev_per_atom=-4.790 vol_a3_per_fu=250 formation_energy_uncorrected_ev_per_atom=-1.669 pbc="T T T"
La 1.384 1.882 5.811
Sr -0.787 3.701 2.473
Sr 2.610 5.963 4.415
Se -1.287 0.657 6.783
Se -3.442 2.497 3.520
Se 2.026 2.706 8.633
Se -0.129 4.546 5.370
In -2.013 -0.380 3.869

---

Please write out number 1 again, unchanged.
10
Lattice="-3.743 -0.964 4.834 -6.839 -2.739 -1.879 0.560 -6.960 3.009" Properties=species:S:1:pos:R:3 comment="La5InSe4 PBE-GGA optimized geometry" m_tot_mub_per_cell=0.0 dft_energy_ev_per_atom=-5.800 vol_a3_per_fu=298 formation_energy_uncorrected_ev_per_atom=-1.669 pbc="T T T"
In -0.005 -0.001 0.006
Se -1.874 -3.541 1.813
Se -8.155 -7.124 4.160
Se -6.231 -3.590 2.392
Se -3.798 -7.075 3.581
La -4.304 -3.145 0.010
La -6.259 -6.577 1.774
La -3.770 -4.088 4.198
La -1.877 -0.483 2.424
La -5.725 -7.520 5.962